(1)
# La2BiF2

A geometry-optimized La2BiF2 structure (GGA-PBEsol, the Alexandria database).

POSCAR file:
```
La2BiF2
1.0
-2.050 2.050 6.568
2.050 -2.050 6.568
2.050 2.050 -6.568
La Bi F
2 1 2
direct
0.135 0.135 0.000
0.865 0.865 0.000
0.500 0.500 0.000
0.250 0.750 0.500
0.750 0.250 0.500
```

***

(2)
# La2BiF

A geometry-optimized La2BiF structure (GGA-PBEsol, the Alexandria database).

POSCAR file:
```
La2BiF
1.0
0.000 3.746 3.746
3.746 0.000 3.746
3.746 3.746 0.000
La Bi F
2 1 1
direct
0.250 0.250 0.250
0.750 0.750 0.750
0.000 0.000 0.000
0.500 0.500 0.500
```

Computed properties:
offset from the most stable computed form: 0.2878 eV/atom

***

(3)
# La2BiF

A geometry-optimized La2BiF structure (GGA-PBEsol, the Alexandria database).

POSCAR file:
```
La2BiF
1.0
-3.835 3.835 3.738
3.835 -3.835 3.738
3.835 3.835 -3.738
La Bi F
4 2 2
direct
0.040 0.125 0.415
0.375 0.960 0.085
0.710 0.625 0.585
0.875 0.290 0.915
0.250 0.750 0.500
0.500 0.500 0.000
0.000 0.000 0.000
0.750 0.250 0.500
```

Computed properties:
offset from the most stable computed form: 0.0000 eV/atom

***

(4)
# LaBiF3

A geometry-optimized LaBiF3 structure (GGA-PBEsol, the Alexandria database).

POSCAR file:
```
LaBiF3
1.0
4.736 0.000 0.000
0.000 4.736 0.000
0.000 0.000 4.736
La Bi F
1 1 3
direct
0.000 0.000 0.000
0.500 0.500 0.500
0.000 0.000 0.500
0.000 0.500 0.000
0.500 0.000 0.000
```

***

(5)
# La2MgBiF

A geometry-optimized La2MgBiF structure (GGA-PBEsol, the Alexandria database).

POSCAR file:
```
La2MgBiF
1.0
4.809 0.000 0.000
0.000 4.809 0.000
0.000 0.000 5.814
La Mg Bi F
2 1 1 1
direct
0.000 0.500 0.000
0.500 0.000 0.000
0.000 0.000 0.500
0.500 0.500 0.500
0.500 0.500 0.000
```

***

(6)
# LaBiNF2

A geometry-optimized LaBiNF2 structure (GGA-PBEsol, the Alexandria database).

POSCAR file:
```
LaBiNF2
1.0
4.473 0.000 0.000
0.000 4.473 0.000
0.000 0.000 5.058
La Bi N F
1 1 1 2
direct
0.000 0.000 0.000
0.500 0.500 0.500
0.000 0.000 0.500
0.000 0.500 0.000
0.500 0.000 0.000
```

***

These records have ρ values of 7.89 7.99 7.64 6.33 6.55 6.56 g/cm³, in the order they appear.
These records have energy values of -31.78 -22.52 -47.33 -28.48 -24.33 -29.67 eV for the cell shown, in the order they appear.
These records have formation energy from raw total energies values of -2590 -1403 -1690 -2614 -1141 -1531 meV per atom, in the order they appear.